Entry 1:
A plane-wave DFT calculation with GGA-PBE was carried out for a relaxed Be2TcTe crystal.

Results
* mass density: 7.336 g cm⁻³
* spin magnetization: 0.00 Bohr magnetons per cell
* DFT total energy: -19.090 eV for the cell shown
* uncorrected formation energy: 45 kJ/mol of atoms

a = 4.7202 Å, b = 4.7202 Å, c = 4.7202 Å
α = 133.05°, β = 133.05°, γ = 68.57°
Last column: nearest neighbours and their distance in Å.
Fractional coordinates of all 4 atoms:
Be (0.2500, 0.7500, 0.5000)  4 Be 2.66, 4 Te 2.71, 4 Tc 2.71
Be (0.7500, 0.2500, 0.5000)  4 Be 2.66, 4 Te 2.71, 4 Tc 2.71
Tc (0.0000, 0.0000, 0.0000)  4 Te 2.66, 8 Be 2.71
Te (0.5000, 0.5000, 0.0000)  4 Tc 2.66, 8 Be 2.71

Entry 2:
A plane-wave DFT calculation with GGA-PBE was carried out for a relaxed BeTcTe3 crystal.

Results
* mass density: 6.736 g cm⁻³
* spin magnetization: 3.23 Bohr magnetons per cell
* DFT total energy: -18.678 eV for the cell shown
* uncorrected formation energy: 93 kJ/mol of atoms

a = 4.9425 Å, b = 4.9425 Å, c = 4.9425 Å
α = 90.00°, β = 90.00°, γ = 90.00°
Last column: nearest neighbours and their distance in Å.
Fractional coordinates of all 5 atoms:
Be (0.0000, 0.0000, 0.0000)  6 Te 2.47
Tc (0.5000, 0.5000, 0.5000)  12 Te 3.49
Te (0.0000, 0.0000, 0.5000)  2 Be 2.47
Te (0.0000, 0.5000, 0.0000)  2 Be 2.47
Te (0.5000, 0.0000, 0.0000)  2 Be 2.47

Entry 3:
A plane-wave DFT calculation with GGA-PBE was carried out for a relaxed Be2TcTe crystal.

Results
* mass density: 7.207 g cm⁻³
* spin magnetization: 0.00 Bohr magnetons per cell
* DFT total energy: -19.656 eV for the cell shown
* uncorrected formation energy: 31 kJ/mol of atoms

a = 3.2377 Å, b = 3.2377 Å, c = 5.3548 Å
α = 90.00°, β = 90.00°, γ = 90.00°
Last column: nearest neighbours and their distance in Å.
Fractional coordinates of all 4 atoms:
Be (0.0000, 0.0000, 0.0000)  1 Tc 2.24
Be (0.5000, 0.5000, 0.1986)  4 Be 2.52, 4 Tc 2.58, 2 Te 2.60-2.75
Tc (0.0000, 0.0000, 0.4190)  1 Be 2.24
Te (0.5000, 0.5000, 0.7131)  6 Be 2.60-2.76, 4 Tc 2.78

Entry 4:
A plane-wave DFT calculation with GGA-PBE was carried out for a relaxed Be2TcTe crystal.

Results
* mass density: 6.649 g cm⁻³
* spin magnetization: 2.01 Bohr magnetons per cell
* DFT total energy: -35.889 eV for the cell shown
* uncorrected formation energy: 73 kJ/mol of atoms

a = 5.4547 Å, b = 5.4547 Å, c = 5.4547 Å
α = 104.46°, β = 104.46°, γ = 120.05°
Last column: nearest neighbours and their distance in Å.
Fractional coordinates of all 8 atoms:
Be (0.1161, 0.6250, 0.9911)  2 Tc 2.42, 2 Te 2.50
Be (0.3750, 0.3661, 0.4911)  2 Tc 2.42, 2 Te 2.50
Be (0.6339, 0.1250, 0.0089)  2 Tc 2.42, 2 Te 2.50
Be (0.8750, 0.8839, 0.5089)  2 Tc 2.42, 2 Te 2.50
Tc (0.0000, 0.0000, 0.0000)  4 Be 2.42
Tc (0.7500, 0.2500, 0.5000)  4 Be 2.42
Te (0.2500, 0.7500, 0.5000)  4 Be 2.50, 2 Tc 2.73
Te (0.5000, 0.5000, 0.0000)  4 Be 2.50, 2 Tc 2.73

Among the records above, which one has the lowest DFT total energy? number 4